# 1
# HoPtRh PBE relaxed
# formation enthalpy at 0 K = -61.2 kJ/mol of atoms
# density of states at the Fermi level = 10.1 states/eV per cell
# distance to the lowest polymorph of the same formula = 0.197 eV per atom
data_HoPtRh
_cell_length_a 3.505
_cell_length_b 3.505
_cell_length_c 9.067
_cell_angle_alpha 90.00
_cell_angle_beta 90.00
_cell_angle_gamma 90.00
_symmetry_space_group_name_H-M 'I 4 m m'
_symmetry_Int_Tables_number 107
_symmetry_space_group_name_Hall 'I 4 -2'
loop_
_atom_site_label
_atom_site_type_symbol
_atom_site_fract_x
_atom_site_fract_y
_atom_site_fract_z
_atom_site_occupancy
Ho1 Ho 0.000 0.000 0.000 1
Pt1 Pt 0.000 0.000 0.668 1
Rh1 Rh 0.000 0.000 0.334 1

# 2
# HoPtRh PBE relaxed
# formation enthalpy at 0 K = -69.5 kJ/mol of atoms
# density of states at the Fermi level = 3.6 states/eV per cell
# distance to the lowest polymorph of the same formula = 0.111 eV per atom
data_HoPtRh
_cell_length_a 4.089
_cell_length_b 4.064
_cell_length_c 6.848
_cell_angle_alpha 90.00
_cell_angle_beta 90.07
_cell_angle_gamma 90.00
_symmetry_space_group_name_H-M 'P 1 21/m 1'
_symmetry_Int_Tables_number 11
loop_
_symmetry_equiv_pos_as_xyz
'x,y,z'
'-x,-y,-z'
'-x,y+1/2,-z'
'x,-y+1/2,z'
loop_
_atom_site_label
_atom_site_type_symbol
_atom_site_fract_x
_atom_site_fract_y
_atom_site_fract_z
_atom_site_occupancy
Ho1 Ho 0.249 0.250 0.175 1
Pt1 Pt 0.250 0.750 0.500 1
Rh1 Rh 0.251 0.250 0.774 1